Below is a relaxed NaDySnBi crystal, with properties calculated at the GGA-PBE level.

Theoretical density (g/cm³): 7.545
Raw total energy (eV/atom): -3.79
N(E_F) (states/eV per cell): 16.6

Geometry as CIF:
```
data_NaDySnBi
_chemical_formula_sum 'Na4 Dy4 Sn4 Bi4'
_cell_length_a 7.6732
_cell_length_b 7.6732
_cell_length_c 7.6732
_cell_angle_alpha 90.00
_cell_angle_beta 90.00
_cell_angle_gamma 90.00
_symmetry_space_group_name_H-M 'F -4 3 m'
_symmetry_Int_Tables_number 216
_symmetry_space_group_name_Hall 'F -4 2 3'
loop_
_atom_site_label
_atom_site_fract_x
_atom_site_fract_y
_atom_site_fract_z
Na1 0.0000 0.0000 0.0000
Dy1 0.0000 0.0000 0.5000
Sn1 0.2500 0.2500 0.7500
Bi1 0.2500 0.2500 0.2500
```